First-principles (PBE) data for an optimized crystal structure of CdPO2F, as listed in Alexandria via LeMat-Bulk.

Calculated values
DOS(E_F) (states/eV/atom): 0.4468
Crystal system: tetragonal
Uncorrected formation energy (eV/f.u.): 3.0
Symmetry: P4/mmm
M_tot (μB per formula unit): 2.66

a b c (Å): 4.0063 4.0063 5.9786
angles (deg): 90.00 90.00 90.00
Last column: magnetic moment on the atom in μB.
Atoms (fractional coordinates):
O: 0.5000 0.0000 0.0000  0.57
O: 0.0000 0.5000 0.0000  0.57
P: 0.0000 0.0000 0.5000  0.64
Cd: 0.0000 0.0000 0.0000  0.03
F: 0.5000 0.5000 0.5000  -0.06